Here is TiIn2F8 after structural relaxation from Alexandria. Energies are from PBE.

Cell: 4.6399 6.0594 6.0594 Å, 74.42 104.70 104.70°
Last column: magnetic moment on the atom in μB.
Fractional coordinates of all 11 atoms:
Ti1 0.0000 0.0000 0.0000  0.28
In1 0.6505 0.3421 0.3421  0.06
In2 0.3495 0.6579 0.6579  0.06
F1 0.7439 0.0512 0.6880  0.00
F2 0.2561 0.3120 0.9488  0.00
F3 0.7591 0.1233 0.1233  0.00
F4 0.2409 0.8767 0.8767  0.00
F5 0.7439 0.6880 0.0512  0.00
F6 0.2561 0.9488 0.3120  0.00
F7 0.1957 0.4116 0.4116  0.02
F8 0.8043 0.5884 0.5884  0.02

Computed properties:
Total moment ... 0.47 Bohr magnetons per cell
Relative energy among the computed polymorphs ... 0.036 eV/atom
Raw formation energy ... -2652.4 meV per atom
Electronic total energy ... -57.5 eV per cell